Below is crystalline YTmTe at its relaxed geometry, with properties calculated at the PBE level.

Geometry as extended XYZ:
```
3
Lattice="-1.923 1.923 5.742 1.923 -1.923 5.742 1.923 1.923 -5.742" Properties=species:S:1:pos:R:3 pbc="T T T"
Y 0.000 0.000 0.000
Tm 0.000 0.000 7.881
Te 0.000 0.000 3.898
```

Computed properties:
* calculated total energy: -5.47 eV/atom
* crystal system: tetragonal
* energy relative to the elements, uncorrected: -224 kJ/mol of formula units